Record 1
Material: PaSF
Method: DFT, GGA-PBE
State: optimized geometry

abc: 5.087 5.087 5.087
angles: 140.70 140.70 56.80
Positions (direct):
Pa: 0.000 0.000 0.000
S: 0.332 0.332 0.000
F: 0.625 0.625 0.000

- theoretical density (g/cm3) = 8.94
- crystal system = tetragonal

---

Record 2
Material: PaSF
Method: DFT, GGA-PBE
State: optimized geometry

abc: 8.111 3.750 6.835
angles: 90.00 90.00 90.00
Positions (direct):
Pa: 0.150 0.250 0.241
Pa: 0.350 0.750 0.741
Pa: 0.650 0.250 0.259
Pa: 0.850 0.750 0.759
S: 0.098 0.250 0.652
S: 0.402 0.750 0.152
S: 0.598 0.250 0.848
S: 0.902 0.750 0.348
F: 0.101 0.750 0.980
F: 0.399 0.250 0.480
F: 0.601 0.750 0.520
F: 0.899 0.250 0.020

- theoretical density (g/cm3) = 9.01
- crystal system = orthorhombic

---

Record 3
Material: Pa2S3F
Method: DFT, GGA-PBE
State: optimized geometry

abc: 7.021 7.021 7.021
angles: 63.13 63.13 63.13
Positions (direct):
Pa: 0.136 0.136 0.136
Pa: 0.364 0.364 0.364
Pa: 0.636 0.636 0.636
Pa: 0.864 0.864 0.864
S: 0.030 0.750 0.470
S: 0.250 0.530 0.970
S: 0.470 0.030 0.750
S: 0.530 0.970 0.250
S: 0.750 0.470 0.030
S: 0.970 0.250 0.530
F: 0.000 0.000 0.000
F: 0.500 0.500 0.500

- theoretical density (g/cm3) = 7.33
- crystal system = trigonal

---

Record 4
Material: PaSF
Method: DFT, GGA-PBE
State: optimized geometry

abc: 4.094 4.094 3.664
angles: 90.00 90.00 120.00
Positions (direct):
Pa: 0.000 0.000 0.000
S: 0.333 0.667 0.500
F: 0.667 0.333 0.000

- theoretical density (g/cm3) = 8.81
- crystal system = hexagonal

---

Record 5
Material: Pa3S5F
Method: DFT, GGA-PBE
State: optimized geometry

abc: 7.325 7.325 9.094
angles: 103.61 103.61 75.27
Positions (direct):
Pa: 0.000 0.000 0.000
Pa: 0.000 0.000 0.500
Pa: 0.300 0.300 0.414
Pa: 0.337 0.337 0.842
Pa: 0.663 0.663 0.158
Pa: 0.700 0.700 0.586
S: 0.004 0.375 0.625
S: 0.241 0.241 0.080
S: 0.297 0.703 0.000
S: 0.375 0.004 0.625
S: 0.486 0.486 0.668
S: 0.514 0.514 0.332
S: 0.625 0.996 0.375
S: 0.703 0.297 0.000
S: 0.759 0.759 0.920
S: 0.996 0.625 0.375
F: 0.061 0.061 0.276
F: 0.939 0.939 0.724

- theoretical density (g/cm3) = 6.43
- crystal system = monoclinic

---

Record 6
Material: Pa2S4F
Method: DFT, GGA-PBE
State: optimized geometry

abc: 8.806 8.806 8.806
angles: 30.08 30.08 30.08
Positions (direct):
Pa: 0.091 0.091 0.091
Pa: 0.909 0.909 0.909
S: 0.204 0.204 0.204
S: 0.393 0.393 0.393
S: 0.607 0.607 0.607
S: 0.796 0.796 0.796
F: 0.000 0.000 0.000

- theoretical density (g/cm3) = 6.66
- crystal system = trigonal

---

no.,formation energy without anion corrections (eV per atom)
1,-2.086
2,-2.259
3,-1.998
4,-2.360
5,-1.728
6,-1.946